K3Pa3RhSe8 | PBE-GGA | relaxed

Cell lengths 8.0661, 8.0661, 9.2627 Å; angles 115.74, 115.74, 60.07 degrees
With the nearest neighbours (Å) after each atom.
Fractional coordinates of all 15 atoms:
K 0.0000 0.0000 0.0000  6 Se 3.26-3.33
K 0.0000 0.5000 0.0000  6 Se 3.26-3.34
K 0.5000 0.0000 0.0000  6 Se 3.26-3.34
Pa 0.0000 0.5000 0.5000  6 Se 2.86-2.89
Pa 0.5000 0.0000 0.5000  6 Se 2.86-2.89
Pa 0.5000 0.5000 0.5000  6 Se 2.86-2.90
Rh 0.0000 0.0000 0.5000  6 Se 2.70-2.71
Se 0.2229 0.2229 0.6951  1 Rh 2.70, 2 Pa 2.86
Se 0.2231 0.7489 0.6954  1 Rh 2.71, 2 Pa 2.86
Se 0.2511 0.7769 0.3046  1 Rh 2.71, 2 Pa 2.86
Se 0.2618 0.2618 0.2854  3 Pa 2.89-2.90
Se 0.7382 0.7382 0.7146  3 Pa 2.89-2.90
Se 0.7489 0.2231 0.6954  1 Rh 2.71, 2 Pa 2.86
Se 0.7769 0.2511 0.3046  1 Rh 2.71, 2 Pa 2.86
Se 0.7771 0.7771 0.3049  1 Rh 2.70, 2 Pa 2.86

E_form (uncorrected) = -1.166 eV/atom